## Pm5Nd7Y (PBE-GGA)

Data for a relaxed structure of Pm5Nd7Y.

The value obtained for the formation energy is 221 meV per atom. Its density is 6.54 g/cm³. Its crystal system is orthorhombic. The space-group type is Imm2, No. 44.

a b c (Å): 8.916 8.916 8.916
angles (deg): 134.86 100.78 96.18
Sites, in units of the cell vectors:
Pm1 0.000 0.000 0.000
Pm2 0.253 0.298 0.500
Pm3 0.253 0.753 0.955
Pm4 0.798 0.298 0.045
Pm5 0.798 0.753 0.500
Nd1 0.093 0.265 0.828
Nd2 0.437 0.265 0.172
Nd3 0.505 0.505 0.000
Nd4 0.520 0.020 0.500
Nd5 0.592 0.769 0.823
Nd6 0.826 0.326 0.500
Nd7 0.945 0.769 0.177
Y1 0.210 0.710 0.500

## Pm4NdY2 (PBE-GGA)

Data for a relaxed structure of Pm4NdY2.

The value obtained for the formation energy is 250 meV per atom. Its density is 6.16 g/cm³. Its crystal system is orthorhombic. The space-group type is Imma, No. 74.

a b c (Å): 9.086 9.086 9.086
angles (deg): 135.42 101.58 94.99
Sites, in units of the cell vectors:
Pm1 0.147 0.145 0.002
Pm2 0.242 0.212 0.470
Pm3 0.242 0.772 0.030
Pm4 0.357 0.855 0.502
Pm5 0.643 0.145 0.498
Pm6 0.758 0.228 0.970
Pm7 0.758 0.788 0.530
Pm8 0.853 0.855 0.998
Nd1 0.500 0.000 0.000
Nd2 0.500 0.500 0.500
Y1 0.000 0.500 0.500
Y2 0.031 0.281 0.750
Y3 0.500 0.500 0.000
Y4 0.969 0.719 0.250

## Pm12Nd7Y (PBE-GGA)

Data for a relaxed structure of Pm12Nd7Y.

The value obtained for the formation energy is 597 meV per atom. Its density is 6.04 g/cm³. Its crystal system is cubic. The space-group type is Im-3m, No. 229.

a b c (Å): 10.044 10.044 10.044
angles (deg): 109.47 109.47 109.47
Sites, in units of the cell vectors:
Pm1 0.000 0.248 0.752
Pm2 0.000 0.752 0.248
Pm3 0.248 0.000 0.752
Pm4 0.248 0.248 0.496
Pm5 0.248 0.496 0.248
Pm6 0.248 0.752 0.000
Pm7 0.496 0.248 0.248
Pm8 0.504 0.752 0.752
Pm9 0.752 0.000 0.248
Pm10 0.752 0.248 0.000
Pm11 0.752 0.504 0.752
Pm12 0.752 0.752 0.504
Nd1 0.000 0.000 0.500
Nd2 0.000 0.500 0.000
Nd3 0.000 0.500 0.500
Nd4 0.500 0.000 0.000
Nd5 0.500 0.000 0.500
Nd6 0.500 0.500 0.000
Nd7 0.500 0.500 0.500
Y1 0.000 0.000 0.000

## Pm3Nd3Y4 (PBE-GGA)

Data for a relaxed structure of Pm3Nd3Y4.

The value obtained for the formation energy is 99 meV per atom. Its density is 5.87 g/cm³. Its crystal system is orthorhombic. The space-group type is Amm2, No. 38.

a b c (Å): 3.679 9.699 9.699
angles (deg): 90.02 90.00 90.00
Sites, in units of the cell vectors:
Pm1 0.000 0.000 0.000
Pm2 0.000 0.501 0.850
Pm3 0.000 0.850 0.501
Nd1 0.000 0.350 0.350
Nd2 0.500 0.175 0.676
Nd3 0.500 0.676 0.175
Y1 0.500 0.051 0.297
Y2 0.500 0.297 0.051
Y3 0.500 0.553 0.553
Y4 0.500 0.798 0.798